No. 1
Dy4Ho5Er3: optimized geometry, PBE-GGA.

Unit cell a=5.8170 b=8.4666 c=9.5229 alpha=105.91 beta=72.22 gamma=69.91
With the nearest neighbours (Å) after each atom.
Fractional positions:
Dy1 0.8595 0.2215 0.0596  1 Dy 3.22, 1 Er 3.37, 3 Ho 3.39-3.51
Dy2 0.1647 0.0495 0.6212  3 Er 3.28-3.47, 3 Dy 3.53-3.61, 3 Ho 3.59-3.61
Dy3 0.8353 0.9505 0.3788  3 Er 3.28-3.47, 3 Dy 3.53-3.61, 3 Ho 3.59-3.61
Dy4 0.1405 0.7785 0.9404  1 Dy 3.22, 1 Er 3.37, 3 Ho 3.39-3.51
Ho1 0.6280 0.9454 0.7986  2 Er 3.22-3.43, 1 Ho 3.38, 2 Dy 3.59
Ho2 0.5000 0.5000 0.5000  4 Er 2.91-3.05
Ho3 0.2128 0.4600 0.1145  4 Er 3.15-3.39, 3 Dy 3.39-3.51
Ho4 0.7872 0.5400 0.8855  4 Er 3.15-3.39, 3 Dy 3.39-3.51
Ho5 0.3720 0.0546 0.2014  2 Er 3.22-3.43, 1 Ho 3.38, 2 Dy 3.59
Er1 0.5225 0.6873 0.2677  5 Ho 3.05-3.39, 2 Dy 3.28-3.37
Er2 0.0000 0.5000 0.5000  2 Ho 2.91
Er3 0.4775 0.3127 0.7323  5 Ho 3.05-3.39, 2 Dy 3.28-3.37

space group	C2/m, No. 12
V	379.9	Å³ per cell
energy above the most stable polymorph in this dataset	0.226	eV per atom
crystal system	monoclinic
density	8.6	Mg/m³
magnetic moment	0.5	μB per formula unit
energy of formation	2.953	eV/f.u.

---

No. 2
Pm3YPt2: optimized geometry, PBE-GGA.

Unit cell a=4.8617 b=7.3105 c=9.0408 alpha=90.00 beta=90.00 gamma=90.00
With the nearest neighbours (Å) after each atom.
Fractional positions:
Pm1 0.0000 0.4931 0.9141  3 Pt 2.88-3.10
Pm2 0.0000 0.9931 0.0859  3 Pt 2.88-3.10
Pm3 0.5000 0.6444 0.1665  4 Pt 2.96-3.05
Pm4 0.5000 0.1444 0.8335  4 Pt 2.96-3.05
Pm5 0.0000 0.3551 0.3365  4 Pt 2.97-3.02
Pm6 0.0000 0.8551 0.6635  4 Pt 2.97-3.02
Y1 0.5000 0.5064 0.5837  3 Pt 2.86-3.09
Y2 0.5000 0.0064 0.4163  3 Pt 2.86-3.09
Pt1 0.5000 0.7396 0.8378  1 Y 2.86, 6 Pm 2.96-3.10
Pt2 0.5000 0.2396 0.1622  1 Y 2.86, 6 Pm 2.96-3.10
Pt3 0.0000 0.2614 0.6559  5 Pm 2.88-3.04, 2 Y 3.09
Pt4 0.0000 0.7614 0.3441  5 Pm 2.88-3.04, 2 Y 3.09

space group	Pmc2_1, No. 26
V	321.3	Å³ per cell
energy above the most stable polymorph in this dataset	0.000	eV per atom
crystal system	orthorhombic
density	9.4	Mg/m³
magnetic moment	0.0	μB per formula unit
energy of formation	-5.131	eV/f.u.

---

No. 3
SmNpFe2: optimized geometry, PBE-GGA.

Unit cell a=4.3683 b=7.3549 c=9.5599 alpha=90.00 beta=90.00 gamma=90.00
With the nearest neighbours (Å) after each atom.
Fractional positions:
Sm1 0.7500 0.5964 0.3756  9 Fe 3.00-3.27, 2 Np 3.35
Sm2 0.7500 0.0964 0.1244  9 Fe 3.00-3.27, 2 Np 3.35
Sm3 0.2500 0.4036 0.6244  9 Fe 3.00-3.27, 2 Np 3.35
Sm4 0.2500 0.9036 0.8756  9 Fe 3.00-3.27, 2 Np 3.35
Np1 0.2500 0.9410 0.3752  2 Fe 2.10-2.11
Np2 0.7500 0.0590 0.6248  2 Fe 2.10-2.11
Np3 0.2500 0.4410 0.1248  2 Fe 2.10-2.11
Np4 0.7500 0.5590 0.8752  2 Fe 2.10-2.11
Fe1 0.7500 0.6897 0.0700  1 Np 2.10
Fe2 0.2500 0.3103 0.9300  1 Np 2.10
Fe3 0.7500 0.1897 0.4300  1 Np 2.10
Fe4 0.2500 0.8103 0.5700  1 Np 2.10
Fe5 0.7500 0.2016 0.8158  1 Np 2.11
Fe6 0.2500 0.2984 0.3158  1 Np 2.11
Fe7 0.7500 0.7016 0.6842  1 Np 2.11
Fe8 0.2500 0.7984 0.1842  1 Np 2.11

space group	Pnma, No. 62
V	307.1	Å³ per cell
crystal system	orthorhombic
density	10.8	Mg/m³
magnetic moment	1.1	μB per formula unit
energy of formation	0.005	eV/f.u.

---

No. 4
MgTlPt2: optimized geometry, PBE-GGA.

Unit cell a=4.9426 b=4.9426 c=4.9426 alpha=129.54 beta=129.52 gamma=74.16
With the nearest neighbours (Å) after each atom.
Fractional positions:
Mg1 0.2500 0.7500 0.5000  8 Pt 2.89, 4 Tl 2.98
Pt1 0.0000 0.0000 0.0000  4 Mg 2.89, 4 Tl 2.89, 4 Pt 2.98
Pt2 0.5000 0.5000 0.0000  4 Mg 2.89, 4 Tl 2.89, 4 Pt 2.98
Tl1 0.7500 0.2500 0.5000  8 Pt 2.89, 4 Mg 2.98

space group	I4/mmm, No. 139
V	70.0	Å³ per cell
crystal system	tetragonal
density	14.7	Mg/m³
magnetic moment	0.0	μB per formula unit
energy of formation	-1.635	eV/f.u.

---

No. 5
TlCrP2Se8: optimized geometry, PBE-GGA.

Unit cell a=6.1634 b=6.1634 c=10.4586 alpha=72.86 beta=72.86 gamma=60.00
With the nearest neighbours (Å) after each atom.
Fractional positions:
Tl1 0.5000 0.5000 0.5000  12 Se 3.63-4.03
Cr1 0.0000 0.0000 0.0000  6 Se 2.47
P1 0.2633 0.2633 0.2100  4 Se 2.16-2.29
P2 0.7367 0.7367 0.7900  4 Se 2.16-2.29
Se1 0.1902 0.1902 0.4294  1 P 2.16
Se2 0.6348 0.2980 0.1411  1 P 2.29, 1 Cr 2.47
Se3 0.8098 0.8098 0.5706  1 P 2.16
Se4 0.9261 0.6348 0.1411  1 P 2.29, 1 Cr 2.47
Se5 0.0739 0.3652 0.8589  1 P 2.29, 1 Cr 2.47
Se6 0.2980 0.9261 0.1411  1 P 2.29, 1 Cr 2.47
Se7 0.7020 0.0739 0.8589  1 P 2.29, 1 Cr 2.47
Se8 0.3652 0.7020 0.8589  1 P 2.29, 1 Cr 2.47

space group	R-3, No. 148
V	323.5	Å³ per cell
crystal system	trigonal
density	4.9	Mg/m³
magnetic moment	1.0	μB per formula unit
electronic total energy	-4.33	eV per atom

---

No. 6
BaLiPrGa: optimized geometry, PBE-GGA.

Unit cell a=5.5862 b=5.5862 c=5.5862 alpha=60.00 beta=60.00 gamma=60.00
With the nearest neighbours (Å) after each atom.
Fractional positions:
Pr1 0.5000 0.5000 0.5000  4 Ga 3.42, 4 Li 3.42
Ba1 0.0000 0.0000 0.0000  4 Li 3.42, 4 Ga 3.42
Ga1 0.2500 0.2500 0.2500  4 Ba 3.42, 4 Pr 3.42
Li1 0.7500 0.7500 0.7500  4 Ba 3.42, 4 Pr 3.42

space group	F-43m, No. 216
V	123.3	Å³ per cell
crystal system	cubic
density	4.8	Mg/m³
magnetic moment	0.0	μB per formula unit
energy of formation	-0.454	eV/f.u.

---

No. 7
Na4Pu3S8: optimized geometry, PBE-GGA.

Unit cell a=8.0073 b=8.0073 c=8.4677 alpha=61.78 beta=61.78 gamma=60.00
With the nearest neighbours (Å) after each atom.
Fractional positions:
Na1 0.0000 0.0000 0.0000  6 S 3.00
Na2 0.3588 0.3588 0.9235  4 S 2.69-2.90, 1 Na 3.00
Na3 0.5000 0.5000 0.5000  6 S 2.86, 2 Na 3.00
Na4 0.6412 0.6412 0.0765  4 S 2.69-2.90, 1 Na 3.00
Pu1 0.5000 0.0000 0.5000  6 S 2.68-2.70
Pu2 0.0000 0.0000 0.5000  6 S 2.68-2.70
Pu3 0.0000 0.5000 0.5000  6 S 2.68-2.70
S1 0.2323 0.2323 0.3031  1 Na 2.69, 3 Pu 2.70
S2 0.2146 0.7460 0.2934  2 Pu 2.68, 2 Na 2.86-2.90
S3 0.7460 0.7460 0.2934  2 Pu 2.68, 2 Na 2.86-2.90
S4 0.7460 0.2146 0.2934  2 Pu 2.68, 2 Na 2.86-2.90
S5 0.7677 0.7677 0.6969  1 Na 2.69, 3 Pu 2.70
S6 0.7854 0.2540 0.7066  2 Pu 2.68, 2 Na 2.86-2.90
S7 0.2540 0.2540 0.7066  2 Pu 2.68, 2 Na 2.86-2.90
S8 0.2540 0.7854 0.7066  2 Pu 2.68, 2 Na 2.86-2.90

space group	R-3m, No. 166
V	393.9	Å³ per cell
energy above the most stable polymorph in this dataset	0.000	eV per atom
crystal system	trigonal
density	4.6	Mg/m³
magnetic moment	12.0	μB per formula unit

---

No. 8
Tb3Sm2In3: optimized geometry, PBE-GGA.

Unit cell a=4.9400 b=4.9653 c=9.2510 alpha=90.00 beta=90.00 gamma=90.00
With the nearest neighbours (Å) after each atom.
Fractional positions:
Tb1 0.5000 0.5000 0.7336  6 In 3.28-3.49, 2 Tb 3.50, 4 Sm 3.50
Tb2 0.5000 0.5000 0.2664  6 In 3.28-3.49, 2 Tb 3.50, 4 Sm 3.50
Tb3 0.5000 0.0000 0.0000  4 Sm 3.45, 4 Tb 3.50, 4 In 3.50
Sm1 0.0000 0.0000 0.7396  6 In 3.32-3.46, 6 Tb 3.45-3.50
Sm2 0.0000 0.0000 0.2604  6 In 3.32-3.46, 6 Tb 3.45-3.50
In1 0.5000 0.0000 0.5000  4 Tb 3.29, 4 Sm 3.32, 4 In 3.50
In2 0.0000 0.5000 0.0000  4 Sm 3.46, 8 Tb 3.49-3.50
In3 0.0000 0.5000 0.5000  4 Tb 3.28, 4 Sm 3.33, 4 In 3.50

space group	Pmmm, No. 47
V	226.9	Å³ per cell
energy above the most stable polymorph in this dataset	0.002	eV per atom
crystal system	orthorhombic
density	8.2	Mg/m³
magnetic moment	0.9	μB per formula unit
energy of formation	-2.842	eV/f.u.